Version a
VASP calculation (PBE+U) on an optimized crystal structure of TmWBrO4.

Computed properties:
Volume in Å³ per atom: 18.1
SG: No. 2

Unit cell a=6.9326 b=7.2582 c=11.1280 alpha=100.57 beta=110.59 gamma=95.21
Fractional positions:
1 Tm 0.6722 0.0941 0.7323
2 Tm 0.3278 0.9059 0.2677
3 Tm 0.3698 0.6716 0.7611
4 Tm 0.6302 0.3284 0.2389
5 W 0.7121 0.8112 0.1319
6 W 0.2879 0.1888 0.8681
7 W 0.7418 0.5833 0.6215
8 W 0.2582 0.4167 0.3785
9 Br 0.2696 0.0642 0.5105
10 Br 0.7304 0.9358 0.4895
11 Br 0.2010 0.7341 0.9924
12 Br 0.7990 0.2659 0.0076
13 O 0.6354 0.7417 0.9558
14 O 0.3646 0.2583 0.0442
15 O 0.9904 0.8862 0.1995
16 O 0.0096 0.1138 0.8005
17 O 0.6607 0.6129 0.1996
18 O 0.3393 0.3871 0.8004
19 O 0.3980 0.9904 0.7962
20 O 0.6020 0.0096 0.2038
21 O 0.0191 0.6458 0.6631
22 O 0.9809 0.3542 0.3369
23 O 0.7283 0.3857 0.6975
24 O 0.2717 0.6143 0.3025
25 O 0.6322 0.4730 0.4400
26 O 0.3678 0.5270 0.5600
27 O 0.6667 0.7827 0.7221
28 O 0.3333 0.2173 0.2779

***

Version b
VASP calculation (PBE+U) on an optimized crystal structure of TmWBrO4.

Computed properties:
Volume in Å³ per atom: 18.0
SG: No. 12

Unit cell a=6.3874 b=6.3874 c=6.9584 alpha=75.37 beta=75.37 gamma=68.92
Fractional positions:
1 Tm 0.2306 0.2306 0.8772
2 Tm 0.7694 0.7694 0.1228
3 W 0.6343 0.6343 0.7360
4 W 0.3657 0.3657 0.2640
5 Br 0.0108 0.0108 0.2426
6 Br 0.9892 0.9892 0.7574
7 O 0.3025 0.3025 0.5348
8 O 0.6975 0.6975 0.4652
9 O 0.1045 0.4939 0.1561
10 O 0.5464 0.5464 0.1872
11 O 0.5061 0.8955 0.8439
12 O 0.4939 0.1045 0.1561
13 O 0.4536 0.4536 0.8128
14 O 0.8955 0.5061 0.8439

***

If you had to name the least stable structure above, which would it be? It would be version b.